No. 1
The following is a PBE calculation of a relaxed HfZn3Au3 crystal, from Alexandria via LeMat-Bulk.

- Energy relative to the elements: -267 meV per atom
- SG: P2_13
- VASP energy: -3.640 eV per atom

Structure (extended XYZ):
```
28
Lattice="7.874 0.000 0.000 0.000 7.874 0.000 0.000 0.000 7.874" Properties=species:S:1:pos:R:3 pbc="T T T"
Hf 0.361 3.576 4.298
Hf 3.576 4.298 0.361
Hf 4.298 0.361 3.576
Hf 7.513 7.513 7.513
Zn 1.038 4.976 6.836
Zn 1.353 1.353 1.353
Zn 1.383 6.491 2.554
Zn 2.554 1.383 6.491
Zn 2.584 6.521 5.291
Zn 2.899 2.899 2.899
Zn 4.976 6.836 1.038
Zn 5.291 2.584 6.521
Zn 5.320 5.320 5.320
Zn 6.491 2.554 1.383
Zn 6.521 5.291 2.584
Zn 6.836 1.038 4.976
Au 0.138 2.391 6.977
Au 0.898 4.075 1.546
Au 1.546 0.898 4.075
Au 2.391 6.977 0.138
Au 3.040 3.799 5.483
Au 3.799 5.483 3.040
Au 4.075 1.546 0.898
Au 4.835 7.736 6.328
Au 5.483 3.040 3.799
Au 6.328 4.835 7.736
Au 6.977 0.138 2.391
Au 7.736 6.328 4.835
```

---

No. 2
The following is a PBE calculation of a relaxed AcCd3Au4 crystal, from Alexandria via LeMat-Bulk.

- Energy relative to the elements: -412 meV per atom
- SG: R-3m
- VASP energy: -2.908 eV per atom

Structure (extended XYZ):
```
8
Lattice="2.386 1.377 9.320 -2.386 1.377 9.320 0.000 -2.755 9.320" Properties=species:S:1:pos:R:3 pbc="T T T"
Ac 0.000 0.000 0.000
Cd 0.000 0.000 6.687
Cd 0.000 0.000 13.980
Cd 0.000 0.000 21.274
Au 0.000 0.000 3.550
Au 0.000 0.000 11.057
Au 0.000 0.000 16.904
Au 0.000 0.000 24.411
```

---

No. 3
The following is a PBE calculation of a relaxed AlSbSeI2 crystal, from Alexandria via LeMat-Bulk.

- Formation energy from raw total energies: 49 kJ per mole of atoms
- SG: P4/mmm
- VASP energy: -2.387 eV per atom

Structure (extended XYZ):
```
5
Lattice="5.909 0.000 0.000 0.000 5.909 0.000 0.000 0.000 5.439" Properties=species:S:1:pos:R:3 pbc="T T T"
Al 0.000 0.000 0.000
Sb 2.955 2.955 0.000
Se 2.955 2.955 2.719
I 0.000 2.955 2.719
I 2.955 0.000 2.719
```

---

No. 4
The following is a PBE calculation of a relaxed Y2TlPb crystal, from Alexandria via LeMat-Bulk.

- Energy relative to the elements: -253 meV per atom
- SG: R3m
- VASP energy: -5.003 eV per atom

Structure (extended XYZ):
```
4
Lattice="2.335 1.348 6.873 -2.335 1.348 6.873 0.000 -2.696 6.873" Properties=species:S:1:pos:R:3 pbc="T T T"
Y 0.000 0.000 0.000
Y 0.000 0.000 3.757
Tl 0.000 0.000 8.713
Pb 0.000 0.000 12.149
```

---

No. 5
The following is a PBE calculation of a relaxed Dy4AlIn2 crystal, from Alexandria via LeMat-Bulk.

- Energy relative to the elements: -273 meV per atom
- SG: R-3m
- VASP energy: -4.220 eV per atom

Structure (extended XYZ):
```
7
Lattice="2.594 1.498 8.483 -2.594 1.498 8.483 0.000 -2.995 8.483" Properties=species:S:1:pos:R:3 pbc="T T T"
Dy 0.000 0.000 3.121
Dy 0.000 0.000 9.520
Dy 0.000 0.000 15.930
Dy 0.000 0.000 22.329
Al 0.000 0.000 12.725
In 0.000 0.000 6.384
In 0.000 0.000 19.065
```

---

No. 6
The following is a PBE calculation of a relaxed Zn3CrTe4 crystal, from Alexandria via LeMat-Bulk.

- Formation energy from raw total energies: -27 kJ per mole of atoms
- SG: P-43m
- VASP energy: -3.533 eV per atom

Structure (extended XYZ):
```
8
Lattice="6.201 0.000 0.000 0.000 6.201 0.000 0.000 0.000 6.201" Properties=species:S:1:pos:R:3 pbc="T T T"
Zn 0.000 0.000 3.100
Zn 0.000 3.100 0.000
Zn 3.100 0.000 0.000
Cr 3.100 3.100 3.100
Te 1.543 1.543 4.657
Te 1.543 4.657 1.543
Te 4.657 1.543 1.543
Te 4.657 4.657 4.657
```

---

No. 7
The following is a PBE calculation of a relaxed RbBaBeSe2 crystal, from Alexandria via LeMat-Bulk.

- Formation energy from raw total energies: -88 kJ per mole of atoms
- SG: P2/c
- VASP energy: -3.634 eV per atom

Structure (extended XYZ):
```
10
Lattice="8.134 0.000 0.000 0.000 4.932 0.000 -2.006 0.000 9.236" Properties=species:S:1:pos:R:3 pbc="T T T"
Rb -0.501 1.154 2.309
Rb -1.504 3.778 6.927
Ba 2.563 2.371 6.927
Ba 3.566 2.561 2.309
Be 4.067 0.000 0.000
Be 3.064 0.000 4.618
Se 0.307 1.053 8.923
Se 1.310 3.879 4.305
Se 4.819 1.053 4.930
Se 5.821 3.879 0.313
```

---

No. 8
The following is a PBE calculation of a relaxed AlTe2Br crystal, from Alexandria via LeMat-Bulk.

- Formation energy from raw total energies: -3 kJ per mole of atoms
- SG: Cmmm
- VASP energy: -2.957 eV per atom

Structure (extended XYZ):
```
4
Lattice="2.030 -3.700 0.000 2.030 3.700 0.000 0.000 0.000 8.341" Properties=species:S:1:pos:R:3 pbc="T T T"
Al 0.000 0.000 0.000
Te 2.030 0.000 1.752
Te 2.030 0.000 6.589
Br 0.000 0.000 4.170
```

---

Q: Which of these has the lowest VASP energy?
A: Y2TlPb